A relaxed Os3Pt crystal, computed with PBE.

## Properties
Total magnetic moment, μB per atom: 0.399
SG: No. 225
Energy of formation from the pure elements, eV/atom: 0.766

a = 4.405 Å, b = 4.405 Å, c = 4.405 Å
α = 60.00°, β = 60.00°, γ = 60.00°
Sites, in units of the cell vectors:
Os1 0.000 0.000 0.000
Os2 0.250 0.250 0.250
Os3 0.750 0.750 0.750
Pt1 0.500 0.500 0.500